Entry 1:
Computed, not measured: an optimized crystal structure of P5Cl at the PBE level of DFT.

Lattice parameters (Å, degrees): 5.694 5.694 5.694 60.00 60.00 60.00
Element x y z (fractional)
1 P 0.750 0.750 0.750
2 P 0.958 0.347 0.347
3 P 0.347 0.958 0.347
4 P 0.347 0.347 0.958
5 P 0.347 0.347 0.347
6 Cl 0.000 0.000 0.000

Summary:
Energy above the most stable polymorph in this dataset in meV/atom: 553
E_form (uncorrected) in kJ/mol of formula units: 378
Total moment in μB/f.u.: 1.9
Crystal system: cubic
Space group: F-43m, No. 216

Entry 2:
Computed, not measured: an optimized crystal structure of PCl3 at the PBE level of DFT.

Lattice parameters (Å, degrees): 9.030 9.030 3.273 90.00 90.00 100.16
Element x y z (fractional)
1 P 0.709 0.291 0.750
2 P 0.291 0.709 0.250
3 Cl 0.158 0.842 0.750
4 Cl 0.842 0.158 0.250
5 Cl 0.495 0.779 0.750
6 Cl 0.505 0.221 0.250
7 Cl 0.779 0.495 0.250
8 Cl 0.221 0.505 0.750

Summary:
E_form (uncorrected) in kJ/mol of formula units: -107
Total moment in μB/f.u.: 0.0
Crystal system: orthorhombic
Space group: Cmcm, No. 63

Entry 3:
Computed, not measured: an optimized crystal structure of PCl3 at the PBE level of DFT.

Lattice parameters (Å, degrees): 3.509 7.087 7.087 39.71 90.00 90.00
Element x y z (fractional)
1 Cl 0.000 0.124 0.124
2 Cl 0.500 0.750 0.750
3 Cl 0.000 0.376 0.376
4 P 0.500 0.250 0.250

Summary:
E_form (uncorrected) in kJ/mol of formula units: -138
Total moment in μB/f.u.: 0.0
Crystal system: orthorhombic
Space group: Cmmm, No. 65

Entry 4:
Computed, not measured: an optimized crystal structure of PCl at the PBE level of DFT.

Lattice parameters (Å, degrees): 7.504 7.504 8.047 61.20 61.20 25.48
Element x y z (fractional)
1 P 0.013 0.013 0.960
2 P 0.090 0.090 0.632
3 P 0.704 0.704 0.490
4 Cl 0.628 0.628 0.972
5 Cl 0.396 0.396 0.947
6 Cl 0.336 0.336 0.498

Summary:
Energy above the most stable polymorph in this dataset in meV/atom: 283
E_form (uncorrected) in kJ/mol of formula units: -15
Total moment in μB/f.u.: 0.0
Crystal system: monoclinic
Space group: Cm, No. 8